(1)
# AlAsIr PBE optimized geometry
# formation energy from the elements	-0.145	eV/atom
# VASP energy	-17.69	eV per formula unit
# total magnetization	0.00	μB/f.u.
data_AlAsIr
_chemical_formula_sum 'Al2 As2 Ir2'
_space_group_name_H-M_alt 'I m m 2'
_space_group_IT_number 44
_cell_length_a 3.036
_cell_length_b 3.803
_cell_length_c 8.094
_cell_angle_alpha 90.00
_cell_angle_beta 90.00
_cell_angle_gamma 90.00
loop_
_space_group_symop_operation_xyz
'x,y,z'
'-x,-y,z'
'-x,y,z'
'x,-y,z'
'x+1/2,y+1/2,z+1/2'
'-x+1/2,-y+1/2,z+1/2'
'-x+1/2,y+1/2,z+1/2'
'x+1/2,-y+1/2,z+1/2'
loop_
_atom_site_label
_atom_site_fract_x
_atom_site_fract_y
_atom_site_fract_z
Al1 0.000 0.000 0.000
As1 0.000 0.000 0.674
Ir1 0.000 0.000 0.355



(2)
# Na3PuCu2O6 PBE optimized geometry
# raw formation energy	-1628	meV per atom
# VASP energy	-75.77	eV per formula unit
# total magnetization	0.99	μB/f.u.
data_Na3PuCu2O6
_chemical_formula_sum 'Na6 Pu2 Cu4 O12'
_space_group_name_H-M_alt 'C 1 2/m 1'
_space_group_IT_number 12
_cell_length_a 5.336
_cell_length_b 10.107
_cell_length_c 5.615
_cell_angle_alpha 90.00
_cell_angle_beta 102.78
_cell_angle_gamma 90.00
loop_
_space_group_symop_operation_xyz
'x,y,z'
'-x,-y,-z'
'-x,y,-z'
'x,-y,z'
'x+1/2,y+1/2,z'
'-x+1/2,-y+1/2,-z'
'-x+1/2,y+1/2,-z'
'x+1/2,-y+1/2,z'
loop_
_atom_site_label
_atom_site_fract_x
_atom_site_fract_y
_atom_site_fract_z
Na1 0.000 0.000 0.000
Na2 0.000 0.316 0.000
Pu1 0.000 0.500 0.500
Cu1 0.000 0.175 0.500
O1 0.190 0.500 0.243
O2 0.246 0.154 0.296



(3)
# EuInIrRh PBE optimized geometry
# formation energy from the elements	-0.242	eV/atom
# VASP energy	-30.20	eV per formula unit
# total magnetization	6.57	μB/f.u.
data_EuInIrRh
_chemical_formula_sum 'Eu4 In4 Ir4 Rh4'
_space_group_name_H-M_alt 'F -4 3 m'
_space_group_IT_number 216
_space_group_name_Hall 'F -4 2 3'
_cell_length_a 6.740
_cell_length_b 6.740
_cell_length_c 6.740
_cell_angle_alpha 90.00
_cell_angle_beta 90.00
_cell_angle_gamma 90.00
loop_
_atom_site_label
_atom_site_fract_x
_atom_site_fract_y
_atom_site_fract_z
Eu1 0.000 0.000 0.000
In1 0.000 0.000 0.500
Ir1 0.250 0.250 0.250
Rh1 0.250 0.250 0.750